1.
A relaxed P4PbW crystal. Source: the Alexandria database, functional PBE. Values from VASP.

Structure (Quantum ESPRESSO input):
```
&SYSTEM
  ibrav = 0, nat = 12, ntyp = 3
/
ATOMIC_SPECIES
P 30.97 P.upf
Pb 207.20 Pb.upf
W 183.84 W.upf
CELL_PARAMETERS angstrom
-3.582 3.582 4.673
3.582 -3.582 4.673
3.582 3.582 -4.673
ATOMIC_POSITIONS crystal
P 0.032 0.700 0.696
P 0.164 0.468 0.169
P 0.200 0.004 0.669
P 0.496 0.664 0.196
P 0.504 0.336 0.804
P 0.800 0.996 0.331
P 0.836 0.532 0.831
P 0.968 0.300 0.304
Pb 0.375 0.125 0.250
Pb 0.625 0.875 0.750
W 0.125 0.375 0.750
W 0.875 0.625 0.250
```

Calculated values
Density ... 7.1 g cm⁻³
Energy above the most stable polymorph in this dataset ... 175 meV/atom
ΔE_f ... 0.24 eV/atom
Energy ... -6.145 eV/atom
D(E_F) ... 5.22 states/eV per cell



2.
A relaxed PPbW2 crystal. Source: the Alexandria database, functional PBE. Values from VASP.

Structure (Quantum ESPRESSO input):
```
&SYSTEM
  ibrav = 0, nat = 4, ntyp = 3
/
ATOMIC_SPECIES
P 30.97 P.upf
Pb 207.20 Pb.upf
W 183.84 W.upf
CELL_PARAMETERS angstrom
1.693 -2.380 0.000
1.693 2.380 0.000
0.000 0.000 9.963
ATOMIC_POSITIONS crystal
P 0.000 0.000 0.000
Pb 0.500 0.500 0.354
W 0.000 0.000 0.608
W 0.500 0.500 0.822
```

Calculated values
Density ... 12.5 g cm⁻³
Energy above the most stable polymorph in this dataset ... 191 meV/atom
ΔE_f ... 0.46 eV/atom
Energy ... -8.296 eV/atom
D(E_F) ... 1.44 states/eV per cell